[1]
A plane-wave DFT calculation with PBE was carried out for a relaxed Sr10P6O25 crystal.

```
Sr10P6O25
1.0
-2.3236 9.5946 -0.3584
-7.0929 -6.8320 -0.7740
-0.8576 0.0646 7.2889
Sr P O
10 6 25
Direct
0.0000 0.0000 0.5205
0.6667 0.3333 0.9842
0.6667 0.3333 0.4939
0.0000 0.0000 0.0106
0.1075 0.4321 0.7551
0.5679 0.6754 0.7551
0.3246 0.8925 0.7551
0.5954 0.9427 0.2480
0.0573 0.6527 0.2480
0.3473 0.4046 0.2480
0.3642 0.2903 0.7489
0.7097 0.0739 0.7489
0.9261 0.6358 0.7489
0.3046 0.0245 0.2500
0.9755 0.2800 0.2500
0.7200 0.6954 0.2500
0.4084 0.4031 0.5831
0.5969 0.0053 0.5831
0.9947 0.5916 0.5831
0.2380 0.9295 0.0714
0.0705 0.3085 0.0714
0.6915 0.7620 0.0714
0.2708 0.9028 0.4034
0.0972 0.3680 0.4034
0.6320 0.7292 0.4034
0.4244 0.3882 0.9275
0.6118 0.0362 0.9275
0.9638 0.5756 0.9275
0.4508 0.1956 0.7295
0.8044 0.2551 0.7295
0.7449 0.5492 0.7295
0.2152 0.1161 0.2835
0.8839 0.0991 0.2835
0.9009 0.7848 0.2835
0.1838 0.1814 0.7570
0.8186 0.0024 0.7570
0.9976 0.8162 0.7570
0.4835 0.1433 0.2402
0.8567 0.3402 0.2402
0.6598 0.5165 0.2402
0.3333 0.6667 0.8242
```

Values from the calculation:
Symmetry: P3 (143)
ΔE_f (raw), meV/atom: -2895

***

[2]
A plane-wave DFT calculation with PBE was carried out for a relaxed MgAs2Pb crystal.

```
MgAs2Pb
1.0
-9.8406 -2.2028 1.4936
-8.6536 -3.1466 4.3743
-9.4281 -0.0239 3.8770
As Mg Pb
2 1 1
Direct
0.0138 0.0138 0.0138
0.4862 0.4862 0.4862
0.7500 0.7500 0.7500
0.2500 0.2500 0.2500
```

Values from the calculation:
ΔH_f (0 K), eV/atom: 0.03
Symmetry: R-3m (166)

***

[3]
A plane-wave DFT calculation with PBE was carried out for a relaxed Ac6Os2I3Br crystal.

```
Ac6Os2I3Br
1.0
-2.2940 -3.7640 6.4467
1.5470 -4.0132 -6.5186
8.4775 1.7555 2.4778
Ac Os I Br
6 2 3 1
Direct
0.9362 0.5664 0.8091
0.6936 0.6936 0.1896
0.0638 0.4336 0.1909
0.5664 0.9362 0.8091
0.3064 0.3064 0.8104
0.4336 0.0638 0.1909
0.3331 0.6669 0.0000
0.6669 0.3331 0.0000
0.1622 0.8378 0.5000
0.8378 0.1622 0.5000
0.5000 0.5000 0.5000
0.0000 0.0000 0.0000
```

Values from the calculation:
Symmetry: C2/m (12)
ΔE_f (raw), meV/atom: -843

***

[4]
A plane-wave DFT calculation with PBE was carried out for a relaxed Y2CrCd crystal.

```
Y2CrCd
1.0
3.3898 0.0007 0.0001
0.0174 5.3994 -0.0005
1.6798 2.2285 10.4864
Y Cr Cd
4 2 2
Direct
0.8387 0.9941 0.8338
0.1613 0.0059 0.1662
0.0653 0.4154 0.3665
0.9347 0.5846 0.6335
0.4648 0.0784 0.5711
0.5352 0.9216 0.4289
0.3056 0.4564 0.8947
0.6944 0.5436 0.1053
```

Values from the calculation:
ΔH_f (0 K), eV/atom: 0.11
Symmetry: P-1 (2)

***

[5]
A plane-wave DFT calculation with PBE was carried out for a relaxed AcHS crystal.

```
AcHS
1.0
3.9472 0.0000 0.0000
0.0000 3.9472 0.0000
-1.9736 -1.9736 4.1276
H Ac S
1 1 1
Direct
0.3409 0.3409 0.6817
0.6505 0.6505 0.3010
0.0086 0.0086 0.0172
```

Values from the calculation:
ΔE to the lowest computed polymorph, meV/atom: 455
Symmetry: I4mm (107)

***

[6]
A plane-wave DFT calculation with PBE was carried out for a relaxed TmCd2Au crystal.

```
TmCd2Au
1.0
-3.0312 2.5795 -2.4476
-0.1902 -3.3292 -3.2730
-4.6149 -3.1732 6.8311
Tm Cd Au
2 4 2
Direct
0.1416 0.1416 0.2832
0.8584 0.8584 0.7168
0.0000 0.5000 0.0000
0.5000 0.0000 0.0000
0.3718 0.3718 0.7436
0.6282 0.6282 0.2564
0.2500 0.7500 0.5000
0.7500 0.2500 0.5000
```

Values from the calculation:
ΔH_f (0 K), eV/atom: -0.44
Symmetry: I4/mmm (139)

***

[7]
A plane-wave DFT calculation with PBE was carried out for a relaxed Li3U3VS8 crystal.

```
Li3U3VS8
1.0
7.5593 -0.0002 0.0002
-3.7798 6.5467 -0.0244
0.0008 -4.3410 6.2801
Li U V S
3 3 1 8
Direct
0.0000 0.0000 0.0000
0.0000 0.5000 0.0000
0.5000 0.5000 0.0000
0.5000 0.0000 0.5000
0.5000 0.5000 0.5000
0.0000 0.5000 0.5000
0.0000 0.0000 0.5000
0.2459 0.4917 0.2376
0.7541 0.5083 0.7624
0.7653 0.5306 0.2616
0.2347 0.4694 0.7384
0.7654 0.9963 0.2616
0.2346 0.0037 0.7384
0.2310 0.9963 0.2616
0.7690 0.0037 0.7384
```

Values from the calculation:
Symmetry: R-3m (166)
ΔE_f (raw), meV/atom: -1310

***

[8]
A plane-wave DFT calculation with PBE was carried out for a relaxed MgIn2Os crystal.

```
MgIn2Os
1.0
5.0810 -0.0073 -0.0079
1.5455 4.8402 0.0079
-3.3078 -2.4240 2.9999
In Mg Os
2 1 1
Direct
0.0001 0.0001 0.0000
0.4999 0.4999 0.0000
0.7500 0.2500 0.5000
0.2500 0.7500 0.5000
```

Values from the calculation:
ΔH_f (0 K), eV/atom: 0.19
Symmetry: I4/mmm (139)

***

[9]
A plane-wave DFT calculation with PBE was carried out for a relaxed YSi2Ir2 crystal.

```
YSi2Ir2
1.0
4.1356 0.0000 0.0000
0.0000 4.1356 0.0000
0.0000 0.0000 9.8531
Y Si Ir
2 4 4
Direct
0.5000 0.0000 0.2549
0.0000 0.5000 0.7451
0.5000 0.5000 0.5000
0.0000 0.0000 0.5000
0.0000 0.5000 0.1311
0.5000 0.0000 0.8689
0.0000 0.5000 0.3719
0.5000 0.0000 0.6281
0.5000 0.5000 0.0000
0.0000 0.0000 0.0000
```

Values from the calculation:
Symmetry: P4/nmm (129)
ΔE_f (raw), meV/atom: -1062

***

[10]
A plane-wave DFT calculation with PBE was carried out for a relaxed MgNiGe2 crystal.

```
MgNiGe2
1.0
-1.4659 -3.8660 -0.6254
1.4594 -1.1590 3.7434
-7.2046 -0.3447 5.0377
Ni Ge Mg
2 4 2
Direct
0.0000 0.0000 0.0000
0.7500 0.2500 0.5000
0.6918 0.1250 0.2500
0.0582 0.6250 0.2500
0.3750 0.3082 0.7500
0.8750 0.9418 0.7500
0.5000 0.5000 0.0000
0.2500 0.7500 0.5000
```

Values from the calculation:
ΔH_f (0 K), eV/atom: 0.03
Symmetry: I-42d (122)

***

[11]
A plane-wave DFT calculation with PBE was carried out for a relaxed LiP2Ru crystal.

```
LiP2Ru
1.0
3.2306 0.0000 0.0000
0.0000 4.3022 0.0000
0.0000 0.0000 3.7006
Li P Ru
1 2 1
Direct
0.0000 0.5000 0.5000
0.0000 0.0000 0.0000
0.5000 0.5000 0.0000
0.5000 0.0000 0.5000
```

Values from the calculation:
ΔE to the lowest computed polymorph, meV/atom: 294
ΔH_f (0 K), eV/atom: -0.06
Symmetry: Pmmm (47)

***

[12]
A plane-wave DFT calculation with PBE was carried out for a relaxed LiCu7Pd3 crystal.

```
LiCu7Pd3
1.0
-2.6707 0.9931 3.2883
-3.3261 -0.7418 -5.4014
1.0680 -6.2947 -0.1555
Li Cu Pd
1 7 3
Direct
0.5000 0.5000 0.5000
0.2100 0.2002 0.2002
0.3212 0.0566 0.5854
0.6788 0.4146 0.9434
0.3212 0.5854 0.0566
0.0000 0.5000 0.5000
0.6788 0.9434 0.4146
0.7900 0.7998 0.7998
0.0000 0.7770 0.2230
0.5000 0.0000 0.0000
0.0000 0.2230 0.7770
```

Values from the calculation:
ΔH_f (0 K), eV/atom: 0.11
Symmetry: C2/m (12)

***

[13]
A plane-wave DFT calculation with PBE was carried out for a relaxed CoReNi2 crystal.

```
CoReNi2
1.0
4.4190 0.0080 -0.0045
3.6633 2.4715 -0.0045
0.7400 0.2270 4.3589
Co Ni Re
1 2 1
Direct
0.7479 0.7479 0.7450
0.0016 0.0016 0.0042
0.2513 0.2513 0.2447
0.4992 0.4992 0.5062
```

Values from the calculation:
ΔE to the lowest computed polymorph, meV/atom: 40
ΔH_f (0 K), eV/atom: 0.05
Symmetry: Cm (8)

***

[14]
A plane-wave DFT calculation with PBE was carried out for a relaxed CoTc6Mo2H crystal.

```
CoTc6Mo2H
1.0
-0.9634 -5.3040 4.1629
-0.8683 -2.5988 -3.9015
3.5582 -3.1104 0.4982
Co Tc Mo H
1 6 2 1
Direct
0.5000 0.5000 0.0000
0.0643 0.2747 0.3214
0.7229 0.6119 0.3381
0.1954 0.7903 0.0070
0.8046 0.2097 0.9930
0.2771 0.3881 0.6619
0.9357 0.7253 0.6786
0.6124 0.0567 0.6665
0.3876 0.9433 0.3335
0.0000 0.0000 0.0000
```

Values from the calculation:
Total energy, eV per atom: -9.2426
Symmetry: P-1 (2)

***

[15]
A plane-wave DFT calculation with PBE was carried out for a relaxed BeCrSi crystal.

```
BeCrSi
1.0
-2.1237 -0.4228 -3.4403
-3.5172 -1.1475 2.3122
0.9670 4.1091 -1.1019
Be Si Cr
2 2 2
Direct
0.7500 0.5590 0.0825
0.2500 0.9175 0.4410
0.2500 0.2644 0.1097
0.7500 0.8903 0.7356
0.2500 0.5898 0.7877
0.7500 0.2123 0.4102
```

Values from the calculation:
Symmetry: Ama2 (40)
ΔE_f (raw), meV/atom: -46

***

[16]
A plane-wave DFT calculation with PBE was carried out for a relaxed CoPW crystal.

```
CoPW
1.0
4.9531 -0.0128 0.0141
4.1213 2.7474 0.0133
0.8318 0.2515 2.7488
Co P W
1 1 1
Direct
0.9776 0.9776 0.0224
0.3484 0.3484 0.6516
0.6741 0.6741 0.3259
```

Values from the calculation:
ΔH_f (0 K), eV/atom: -0.04
Symmetry: I4mm (107)

***

[17]
A plane-wave DFT calculation with PBE was carried out for a relaxed ZnAsHSe2 crystal.

```
ZnAsHSe2
1.0
-3.2785 -2.5855 2.7570
-1.5562 -2.4026 -4.1037
3.3193 -3.4176 0.7421
H As Zn Se
1 1 1 2
Direct
0.5000 0.5000 0.5000
0.0000 0.0000 0.5000
0.0000 0.0000 0.0000
0.0000 0.5000 0.0000
0.5000 0.0000 0.0000
```

Values from the calculation:
ΔE to the lowest computed polymorph, meV/atom: 497
Symmetry: P4/mmm (123)

***

[18]
A plane-wave DFT calculation with PBE was carried out for a relaxed Rb2IrPbC crystal.

```
Rb2IrPbC
1.0
-1.2573 4.5409 -5.2341
3.1445 -1.9164 -2.4179
-4.7693 -4.4262 -2.6943
Pb C Ir Rb
1 1 1 2
Direct
0.0000 0.0000 0.0000
0.0000 0.5000 0.0000
0.5000 0.5000 0.5000
0.0000 0.0000 0.5000
0.5000 0.0000 0.0000
```

Values from the calculation:
ΔH_f (0 K), eV/atom: 1.75
Symmetry: P4/mmm (123)

***

[19]
A plane-wave DFT calculation with PBE was carried out for a relaxed TmBe2Cl8 crystal.

```
TmBe2Cl8
1.0
-3.4905 4.8695 -0.3125
-4.3356 -1.7721 6.2612
2.7410 3.3176 6.5285
Tm Be Cl
1 2 8
Direct
0.0000 0.0000 0.0000
0.6466 0.8281 0.8281
0.3534 0.1719 0.1719
0.2381 0.2877 0.9101
0.7619 0.0899 0.7123
0.3047 0.8364 0.8364
0.6953 0.1636 0.1636
0.2381 0.9101 0.2877
0.7619 0.7123 0.0899
0.7690 0.6800 0.6800
0.2310 0.3200 0.3200
```

Values from the calculation:
Symmetry: C2/m (12)
ΔE_f (raw), meV/atom: -1479

***

[20]
A plane-wave DFT calculation with PBE was carried out for a relaxed SrCe3Hg4 crystal.

```
SrCe3Hg4
1.0
-1.7961 -4.4781 2.5369
7.3793 -1.9560 1.7717
-0.7575 5.5826 9.3181
Sr Hg Ce
2 8 6
Direct
0.0000 0.5000 0.0000
0.0000 0.5000 0.5000
0.5000 0.7573 0.0000
0.5000 0.7573 0.5000
0.5000 0.2427 0.0000
0.5000 0.2427 0.5000
0.9989 0.7571 0.7500
0.0011 0.7571 0.2500
0.0011 0.2429 0.2500
0.9989 0.2429 0.7500
0.0000 0.0000 0.0000
0.0000 0.0000 0.5000
0.4989 0.0000 0.7500
0.5011 0.0000 0.2500
0.4992 0.5000 0.7500
0.5008 0.5000 0.2500
```

Values from the calculation:
ΔH_f (0 K), eV/atom: -0.32
Symmetry: Pmma (51)

***

no.,V (Å³/cell),D(E_F) (states/eV per atom)
1,620,0.00
2,92,0.71
3,456,0.33
4,192,1.05
5,64,0.13
6,179,0.62
7,310,0.82
8,74,0.54
9,169,0.43
10,145,0.68
11,51,0.70
12,156,0.28
13,47,1.28
14,134,1.03
15,64,0.63
16,38,0.97
17,121,0.78
18,218,0.21
19,337,1.22
20,465,3.24